Sr2CuBiO6 after structural relaxation. Source: Alexandria, functional PBE-GGA.

Computed properties:
Its space-group type is No. 225. As for the relative energy among the computed polymorphs: 75 meV per atom. Its volume is 13.62 Å³/atom. The uncorrected formation energy comes out at -1540 meV per atom. The value obtained for the total DFT energy (no corrections) is -5.65 eV/atom.

Lattice parameters (Å, degrees): 5.7748 5.7748 5.7748 60.00 60.00 60.00
Last column: nearest neighbours and their distance in Å.
Element x y z (fractional)
1 Sr 0.2500 0.2500 0.2500  12 O 2.89
2 Sr 0.7500 0.7500 0.7500  12 O 2.89
3 Cu 0.0000 0.0000 0.0000  6 O 1.96
4 Bi 0.5000 0.5000 0.5000  6 O 2.12
5 O 0.2399 0.2399 0.7601  1 Cu 1.96, 1 Bi 2.12
6 O 0.2399 0.7601 0.2399  1 Cu 1.96, 1 Bi 2.12
7 O 0.2399 0.7601 0.7601  1 Cu 1.96, 1 Bi 2.12
8 O 0.7601 0.2399 0.2399  1 Cu 1.96, 1 Bi 2.12
9 O 0.7601 0.2399 0.7601  1 Cu 1.96, 1 Bi 2.12
10 O 0.7601 0.7601 0.2399  1 Cu 1.96, 1 Bi 2.12